CrGe2PbO6 | PBE+U | relaxed

CIF file:
```
data_CrGe2PbO6
_chemical_formula_sum 'Cr4 Ge8 Pb4 O24'
_cell_length_a 10.588
_cell_length_b 10.899
_cell_length_c 5.715
_cell_angle_alpha 90.00
_cell_angle_beta 107.63
_cell_angle_gamma 90.00
_symmetry_space_group_name_H-M 'C 1 2/c 1'
_symmetry_Int_Tables_number 15
_symmetry_space_group_name_Hall '-C 2yc'
loop_
_atom_site_label
_atom_site_type_symbol
_atom_site_fract_x
_atom_site_fract_y
_atom_site_fract_z
_atom_site_occupancy
Cr1 Cr 0.000 0.220 0.250 1
Ge1 Ge 0.195 0.424 0.687 1
Pb1 Pb 0.000 0.119 0.750 1
O1 O 0.119 0.286 0.573 1
O2 O 0.127 0.080 0.214 1
O3 O 0.148 0.457 0.958 1
```

Calculated values
* magnetic moment: 16.00 Bohr magnetons per cell
* volume: 157 Å³/f.u.
* uncorrected energy: -258.75 eV for the cell shown